1.
This record from Alexandria describes an optimized crystal structure of InN. The functional is PBEsol.

a b c (Å): 3.5279 3.5279 3.5279
angles (deg): 60.00 60.00 60.00
With the nearest neighbours (Å) after each atom.
Fractional coordinates of all 2 atoms:
In1 0.0000 0.0000 0.0000  4 N 2.16
N1 0.7500 0.7500 0.7500  4 In 2.16

## Properties
The energy above the most stable polymorph in this dataset is 11 meV per atom. The formation energy from raw total energies comes out at -5 kJ/mol of formula units. As for the total magnetization: 0.00 μB per atom.

2.
This record from Alexandria describes an optimized crystal structure of InN. The functional is PBEsol.

a b c (Å): 3.5391 3.5391 5.7152
angles (deg): 90.00 90.00 120.00
With the nearest neighbours (Å) after each atom.
Fractional coordinates of all 4 atoms:
In1 0.6667 0.3333 0.9995  4 N 2.16-2.17
In2 0.3333 0.6667 0.4995  4 N 2.16-2.17
N1 0.6667 0.3333 0.6205  4 In 2.16-2.17
N2 0.3333 0.6667 0.1205  4 In 2.16-2.17

## Properties
The energy above the most stable polymorph in this dataset is 0 meV per atom. The formation energy from raw total energies comes out at -7 kJ/mol of formula units. As for the total magnetization: 0.00 μB per atom.

3.
This record from Alexandria describes an optimized crystal structure of NaInNO2. The functional is PBEsol.

a b c (Å): 4.1949 4.1949 4.3115
angles (deg): 90.00 90.00 90.00
With the nearest neighbours (Å) after each atom.
Fractional coordinates of all 5 atoms:
Na1 0.5000 0.5000 0.5000  4 N 2.97, 8 O 3.01
N1 0.0000 0.0000 0.5000  2 In 2.16
O1 0.0000 0.5000 0.0000  2 In 2.10
O2 0.5000 0.0000 0.0000  2 In 2.10
In1 0.0000 0.0000 0.0000  4 O 2.10, 2 N 2.16

## Properties
The formation energy from raw total energies comes out at -5 kJ/mol of formula units. As for the total magnetization: 0.60 μB per atom.

4.
This record from Alexandria describes an optimized crystal structure of NbIn2PbN. The functional is PBEsol.

a b c (Å): 4.4110 4.4110 5.0550
angles (deg): 90.00 90.00 90.00
With the nearest neighbours (Å) after each atom.
Fractional coordinates of all 5 atoms:
Pb1 0.0000 0.0000 0.5000  2 N 2.53
Nb1 0.5000 0.5000 0.5000  4 Pb 3.12, 8 In 3.35
N1 0.0000 0.0000 0.0000  4 In 2.21
In1 0.0000 0.5000 0.0000  2 N 2.21
In2 0.5000 0.0000 0.0000  2 N 2.21

## Properties
The formation energy from raw total energies comes out at 371 kJ/mol of formula units. As for the total magnetization: 0.10 μB per atom.

What is the formula in the third record?
NaInNO2

Number 3 is which compound?
NaInNO2